1.
The following is a PBE calculation of crystalline ZrSeN2 at its relaxed geometry, from Alexandria via LeMat-Bulk.

## Properties
Formation energy (no corrections) in kJ/mol of atoms: -33.3
Density of states at the Fermi level in states/eV per atom: 0.436
M_tot in μB/atom: 0.00
Total DFT energy (no corrections) in eV/atom: -7.516

Cell lengths 3.3048, 3.3048, 18.9291 Å; angles 90.00, 90.00, 120.00 degrees
Space group R-3m (No. 166, hexagonal axes)
Inequivalent atoms, fractional coordinates:
Zr (0.0000, 0.0000, 0.0000)
Se (0.0000, 0.0000, 0.5000)
N (0.0000, 0.0000, 0.3937)



2.
The following is a PBE calculation of crystalline Zr2SeN at its relaxed geometry, from Alexandria via LeMat-Bulk.

## Properties
Formation energy (no corrections) in kJ/mol of atoms: -56.5
Density of states at the Fermi level in states/eV per atom: 0.332
M_tot in μB/atom: 0.00
Total DFT energy (no corrections) in eV/atom: -7.812

Cell lengths 6.303, 6.303, 6.303 Å; angles 90.00, 90.00, 90.00 degrees
Space group Fm-3m (No. 225)
Inequivalent atoms, fractional coordinates:
Zr (0.250, 0.250, 0.250)
Se (0.000, 0.000, 0.000)
N (0.000, 0.000, 0.500)



3.
The following is a PBE calculation of crystalline ZrSe2N2 at its relaxed geometry, from Alexandria via LeMat-Bulk.

## Properties
Formation energy (no corrections) in kJ/mol of atoms: 96.3
Density of states at the Fermi level in states/eV per atom: 0.621
M_tot in μB/atom: 0.00
Total DFT energy (no corrections) in eV/atom: -5.436

Cell lengths 3.938, 3.938, 4.928 Å; angles 90.00, 90.00, 90.00 degrees
Space group P4/mmm (No. 123)
Inequivalent atoms, fractional coordinates:
Zr (0.000, 0.000, 0.000)
Se (0.500, 0.500, 0.000)
Se (0.500, 0.500, 0.500)
N (0.000, 0.500, 0.500)